1.
Density functional theory data (PBE) for an optimized crystal structure of Tl3CdI.

Output
ΔE_f (raw), kJ per mole of atoms: -1
DFT total energy, eV/atom: -1.92
Energy relative to the lowest polymorph listed for this composition, eV per atom: 0.0000

```
data_Tl3CdI
_chemical_formula_sum 'Tl3 Cd1 I1'
_cell_length_a 5.803
_cell_length_b 5.803
_cell_length_c 5.803
_cell_angle_alpha 90.00
_cell_angle_beta 90.00
_cell_angle_gamma 90.00
_symmetry_space_group_name_H-M 'P m -3 m'
_symmetry_Int_Tables_number 221
_symmetry_space_group_name_Hall '-P 4 2 3'
loop_
_atom_site_label
_atom_site_type_symbol
_atom_site_fract_x
_atom_site_fract_y
_atom_site_fract_z
Tl1 Tl 0.000 0.000 0.500
Cd1 Cd 0.000 0.000 0.000
I1 I 0.500 0.500 0.500
```



2.
Density functional theory data (PBE) for an optimized crystal structure of Tl2Cd3I8.

Output
ΔE_f (raw), kJ per mole of atoms: -56
DFT total energy, eV/atom: -2.10

```
data_Tl2Cd3I8
_chemical_formula_sum 'Tl4 Cd6 I16'
_cell_length_a 17.019
_cell_length_b 8.822
_cell_length_c 7.778
_cell_angle_alpha 90.00
_cell_angle_beta 107.31
_cell_angle_gamma 90.00
_symmetry_space_group_name_H-M 'C 1 2/m 1'
_symmetry_Int_Tables_number 12
loop_
_symmetry_equiv_pos_as_xyz
'x,y,z'
'-x,-y,-z'
'-x,y,-z'
'x,-y,z'
'x+1/2,y+1/2,z'
'-x+1/2,-y+1/2,-z'
'-x+1/2,y+1/2,-z'
'x+1/2,-y+1/2,z'
loop_
_atom_site_label
_atom_site_type_symbol
_atom_site_fract_x
_atom_site_fract_y
_atom_site_fract_z
Tl1 Tl 0.241 0.000 0.167
Cd1 Cd 0.000 0.242 0.500
Cd2 Cd 0.000 0.500 0.000
I1 I 0.102 0.262 0.896
I2 I 0.104 0.500 0.404
I3 I 0.112 0.000 0.446
```



3.
Density functional theory data (PBE) for an optimized crystal structure of TlCdI4.

Output
ΔE_f (raw), kJ per mole of atoms: -31
DFT total energy, eV/atom: -1.91
Energy relative to the lowest polymorph listed for this composition, eV per atom: 0.1038

```
data_TlCdI4
_chemical_formula_sum 'Tl2 Cd2 I8'
_cell_length_a 8.572
_cell_length_b 8.572
_cell_length_c 9.830
_cell_angle_alpha 90.00
_cell_angle_beta 90.00
_cell_angle_gamma 90.00
_symmetry_space_group_name_H-M 'P 42/m m c'
_symmetry_Int_Tables_number 131
_symmetry_space_group_name_Hall '-P 4c 2'
loop_
_atom_site_label
_atom_site_type_symbol
_atom_site_fract_x
_atom_site_fract_y
_atom_site_fract_z
Tl1 Tl 0.000 0.500 0.000
Cd1 Cd 0.000 0.000 0.000
I1 I 0.227 0.247 0.500
```



4.
Density functional theory data (PBE) for an optimized crystal structure of TlCdI2.

Output
ΔE_f (raw), kJ per mole of atoms: -27
DFT total energy, eV/atom: -1.88
Energy relative to the lowest polymorph listed for this composition, eV per atom: 0.0573

```
data_TlCdI2
_chemical_formula_sum 'Tl4 Cd4 I8'
_cell_length_a 8.268
_cell_length_b 8.268
_cell_length_c 8.268
_cell_angle_alpha 90.00
_cell_angle_beta 90.00
_cell_angle_gamma 90.00
_symmetry_space_group_name_H-M 'F m -3 m'
_symmetry_Int_Tables_number 225
_symmetry_space_group_name_Hall '-F 4 2 3'
loop_
_atom_site_label
_atom_site_type_symbol
_atom_site_fract_x
_atom_site_fract_y
_atom_site_fract_z
Tl1 Tl 0.000 0.000 0.000
Cd1 Cd 0.000 0.000 0.500
I1 I 0.250 0.250 0.250
```



5.
Density functional theory data (PBE) for an optimized crystal structure of Tl5Cd3I12.

Output
ΔE_f (raw), kJ per mole of atoms: -32
DFT total energy, eV/atom: -1.99

```
data_Tl5Cd3I12
_chemical_formula_sum 'Tl40 Cd24 I96'
_cell_length_a 19.501
_cell_length_b 19.501
_cell_length_c 19.501
_cell_angle_alpha 90.00
_cell_angle_beta 90.00
_cell_angle_gamma 90.00
_symmetry_space_group_name_H-M 'I a -3 d'
_symmetry_Int_Tables_number 230
_symmetry_space_group_name_Hall '-I 4bd 2c 3'
loop_
_atom_site_label
_atom_site_type_symbol
_atom_site_fract_x
_atom_site_fract_y
_atom_site_fract_z
Tl1 Tl 0.000 0.000 0.000
Tl2 Tl 0.000 0.250 0.375
Cd1 Cd 0.000 0.250 0.125
I1 I 0.022 0.096 0.645
```



6.
Density functional theory data (PBE) for an optimized crystal structure of Tl5CdI8.

Output
ΔE_f (raw), kJ per mole of atoms: -50
DFT total energy, eV/atom: -2.32

```
data_Tl5CdI8
_chemical_formula_sum 'Tl10 Cd2 I16'
_cell_length_a 10.248
_cell_length_b 10.248
_cell_length_c 11.011
_cell_angle_alpha 90.00
_cell_angle_beta 90.00
_cell_angle_gamma 90.00
_symmetry_space_group_name_H-M 'I -4'
_symmetry_Int_Tables_number 82
loop_
_symmetry_equiv_pos_as_xyz
'x,y,z'
'y,-x,-z'
'-x,-y,z'
'-y,x,-z'
'x+1/2,y+1/2,z+1/2'
'y+1/2,-x+1/2,-z+1/2'
'-x+1/2,-y+1/2,z+1/2'
'-y+1/2,x+1/2,-z+1/2'
loop_
_atom_site_label
_atom_site_type_symbol
_atom_site_fract_x
_atom_site_fract_y
_atom_site_fract_z
Tl1 Tl 0.000 0.000 0.000
Tl2 Tl 0.130 0.264 0.615
Cd1 Cd 0.000 0.500 0.250
I1 I 0.050 0.225 0.300
I2 I 0.081 0.312 0.924
```



7.
Density functional theory data (PBE) for an optimized crystal structure of Tl2CdI.

Output
ΔE_f (raw), kJ per mole of atoms: -16
DFT total energy, eV/atom: -1.96
Energy relative to the lowest polymorph listed for this composition, eV per atom: 0.0063

```
data_Tl2CdI
_chemical_formula_sum 'Tl2 Cd1 I1'
_cell_length_a 5.720
_cell_length_b 5.720
_cell_length_c 4.184
_cell_angle_alpha 90.00
_cell_angle_beta 90.00
_cell_angle_gamma 90.00
_symmetry_space_group_name_H-M 'P 4/m m m'
_symmetry_Int_Tables_number 123
_symmetry_space_group_name_Hall '-P 4 2'
loop_
_atom_site_label
_atom_site_type_symbol
_atom_site_fract_x
_atom_site_fract_y
_atom_site_fract_z
Tl1 Tl 0.000 0.500 0.000
Cd1 Cd 0.000 0.000 0.500
I1 I 0.500 0.500 0.500
```



8.
Density functional theory data (PBE) for an optimized crystal structure of Tl2CdI.

Output
ΔE_f (raw), kJ per mole of atoms: -13
DFT total energy, eV/atom: -1.94
Energy relative to the lowest polymorph listed for this composition, eV per atom: 0.0284

```
data_Tl2CdI
_chemical_formula_sum 'Tl6 Cd3 I3'
_cell_length_a 4.1945
_cell_length_b 4.1945
_cell_length_c 28.3683
_cell_angle_alpha 90.00
_cell_angle_beta 90.00
_cell_angle_gamma 120.00
_symmetry_space_group_name_H-M 'R 3 m'
_symmetry_Int_Tables_number 160
_symmetry_space_group_name_Hall 'R 3 -2"'
loop_
_atom_site_label
_atom_site_type_symbol
_atom_site_fract_x
_atom_site_fract_y
_atom_site_fract_z
Tl1 Tl 0.0000 0.0000 0.0000
Tl2 Tl 0.0000 0.0000 0.1720
Cd1 Cd 0.0000 0.0000 0.5863
I1 I 0.0000 0.0000 0.7540
```



9.
Density functional theory data (PBE) for an optimized crystal structure of TlCd3I.

Output
ΔE_f (raw), kJ per mole of atoms: 9
DFT total energy, eV/atom: -1.23
Energy relative to the lowest polymorph listed for this composition, eV per atom: 0.0000

```
data_TlCd3I
_chemical_formula_sum 'Tl1 Cd3 I1'
_cell_length_a 5.621
_cell_length_b 5.621
_cell_length_c 5.621
_cell_angle_alpha 90.00
_cell_angle_beta 90.00
_cell_angle_gamma 90.00
_symmetry_space_group_name_H-M 'P m -3 m'
_symmetry_Int_Tables_number 221
_symmetry_space_group_name_Hall '-P 4 2 3'
loop_
_atom_site_label
_atom_site_type_symbol
_atom_site_fract_x
_atom_site_fract_y
_atom_site_fract_z
Tl1 Tl 0.000 0.000 0.000
Cd1 Cd 0.000 0.000 0.500
I1 I 0.500 0.500 0.500
```



10.
Density functional theory data (PBE) for an optimized crystal structure of Tl4CdI6.

Output
ΔE_f (raw), kJ per mole of atoms: -60
DFT total energy, eV/atom: -2.42

```
data_Tl4CdI6
_chemical_formula_sum 'Tl8 Cd2 I12'
_cell_length_a 9.393
_cell_length_b 9.393
_cell_length_c 9.873
_cell_angle_alpha 90.00
_cell_angle_beta 90.00
_cell_angle_gamma 90.00
_symmetry_space_group_name_H-M 'P 4/m n c'
_symmetry_Int_Tables_number 128
_symmetry_space_group_name_Hall '-P 4 2n'
loop_
_atom_site_label
_atom_site_type_symbol
_atom_site_fract_x
_atom_site_fract_y
_atom_site_fract_z
Tl1 Tl 0.157 0.343 0.250
Cd1 Cd 0.000 0.000 0.000
I1 I 0.000 0.000 0.292
I2 I 0.131 0.690 0.000
```



11.
Density functional theory data (PBE) for an optimized crystal structure of Tl3CdI6.

Output
ΔE_f (raw), kJ per mole of atoms: -52
DFT total energy, eV/atom: -2.27

```
data_Tl3CdI6
_chemical_formula_sum 'Tl12 Cd4 I24'
_cell_length_a 14.823
_cell_length_b 19.094
_cell_length_c 6.874
_cell_angle_alpha 90.00
_cell_angle_beta 90.00
_cell_angle_gamma 90.00
_symmetry_space_group_name_H-M 'C m c 21'
_symmetry_Int_Tables_number 36
loop_
_symmetry_equiv_pos_as_xyz
'x,y,z'
'-x,-y,z+1/2'
'-x,y,z'
'x,-y,z+1/2'
'x+1/2,y+1/2,z'
'-x+1/2,-y+1/2,z+1/2'
'-x+1/2,y+1/2,z'
'x+1/2,-y+1/2,z+1/2'
loop_
_atom_site_label
_atom_site_type_symbol
_atom_site_fract_x
_atom_site_fract_y
_atom_site_fract_z
Tl1 Tl 0.000 0.116 0.000
Tl2 Tl 0.180 0.383 0.973
Cd1 Cd 0.000 0.296 0.377
I1 I 0.000 0.286 0.783
I2 I 0.000 0.438 0.268
I3 I 0.159 0.229 0.243
I4 I 0.160 0.004 0.727
```



12.
Density functional theory data (PBE) for an optimized crystal structure of TlCdI2.

Output
ΔE_f (raw), kJ per mole of atoms: -33
DFT total energy, eV/atom: -1.93
Energy relative to the lowest polymorph listed for this composition, eV per atom: 0.0000

```
data_TlCdI2
_chemical_formula_sum 'Tl3 Cd3 I6'
_cell_length_a 4.5348
_cell_length_b 4.5348
_cell_length_c 25.8633
_cell_angle_alpha 90.00
_cell_angle_beta 90.00
_cell_angle_gamma 120.00
_symmetry_space_group_name_H-M 'R 3 m'
_symmetry_Int_Tables_number 160
_symmetry_space_group_name_Hall 'R 3 -2"'
loop_
_atom_site_label
_atom_site_type_symbol
_atom_site_fract_x
_atom_site_fract_y
_atom_site_fract_z
Tl1 Tl 0.0000 0.0000 0.0000
Cd1 Cd 0.0000 0.0000 0.8327
I1 I 0.0000 0.0000 0.2410
I2 I 0.0000 0.0000 0.4238
```



13.
Density functional theory data (PBE) for an optimized crystal structure of Tl2CdI.

Output
ΔE_f (raw), kJ per mole of atoms: -14
DFT total energy, eV/atom: -1.95
Energy relative to the lowest polymorph listed for this composition, eV per atom: 0.0201

```
data_Tl2CdI
_chemical_formula_sum 'Tl6 Cd3 I3'
_cell_length_a 4.2067
_cell_length_b 4.2067
_cell_length_c 28.2494
_cell_angle_alpha 90.00
_cell_angle_beta 90.00
_cell_angle_gamma 120.00
_symmetry_space_group_name_H-M 'R -3 m'
_symmetry_Int_Tables_number 166
_symmetry_space_group_name_Hall '-R 3 2"'
loop_
_atom_site_label
_atom_site_type_symbol
_atom_site_fract_x
_atom_site_fract_y
_atom_site_fract_z
Tl1 Tl 0.0000 0.0000 0.2477
Cd1 Cd 0.0000 0.0000 0.5000
I1 I 0.0000 0.0000 0.0000
```



14.
Density functional theory data (PBE) for an optimized crystal structure of Tl3Cd5I12.

Output
ΔE_f (raw), kJ per mole of atoms: -52
DFT total energy, eV/atom: -2.06

```
data_Tl3Cd5I12
_chemical_formula_sum 'Tl24 Cd40 I96'
_cell_length_a 19.089
_cell_length_b 19.089
_cell_length_c 19.089
_cell_angle_alpha 90.00
_cell_angle_beta 90.00
_cell_angle_gamma 90.00
_symmetry_space_group_name_H-M 'I a -3 d'
_symmetry_Int_Tables_number 230
_symmetry_space_group_name_Hall '-I 4bd 2c 3'
loop_
_atom_site_label
_atom_site_type_symbol
_atom_site_fract_x
_atom_site_fract_y
_atom_site_fract_z
Tl1 Tl 0.000 0.250 0.125
Cd1 Cd 0.000 0.000 0.000
Cd2 Cd 0.000 0.250 0.375
I1 I 0.031 0.057 0.649
```



15.
Density functional theory data (PBE) for an optimized crystal structure of Tl2CdI.

Output
ΔE_f (raw), kJ per mole of atoms: -6
DFT total energy, eV/atom: -1.86
Energy relative to the lowest polymorph listed for this composition, eV per atom: 0.1040

```
data_Tl2CdI
_chemical_formula_sum 'Tl8 Cd4 I4'
_cell_length_a 5.211
_cell_length_b 5.211
_cell_length_c 22.570
_cell_angle_alpha 90.00
_cell_angle_beta 90.00
_cell_angle_gamma 90.00
_symmetry_space_group_name_H-M 'I -4 2 d'
_symmetry_Int_Tables_number 122
_symmetry_space_group_name_Hall 'I -4 2bw'
loop_
_atom_site_label
_atom_site_type_symbol
_atom_site_fract_x
_atom_site_fract_y
_atom_site_fract_z
Tl1 Tl 0.233 0.250 0.125
Cd1 Cd 0.000 0.000 0.000
I1 I 0.000 0.000 0.500
```



16.
Density functional theory data (PBE) for an optimized crystal structure of TlCd2I5.

Output
ΔE_f (raw), kJ per mole of atoms: -56
DFT total energy, eV/atom: -2.07

```
data_TlCd2I5
_chemical_formula_sum 'Tl2 Cd4 I10'
_cell_length_a 7.615
_cell_length_b 13.634
_cell_length_c 7.802
_cell_angle_alpha 90.00
_cell_angle_beta 95.76
_cell_angle_gamma 90.00
_symmetry_space_group_name_H-M 'P 1 21/m 1'
_symmetry_Int_Tables_number 11
loop_
_symmetry_equiv_pos_as_xyz
'x,y,z'
'-x,-y,-z'
'-x,y+1/2,-z'
'x,-y+1/2,z'
loop_
_atom_site_label
_atom_site_type_symbol
_atom_site_fract_x
_atom_site_fract_y
_atom_site_fract_z
Tl1 Tl 0.043 0.250 0.137
Cd1 Cd 0.139 0.588 0.380
I1 I 0.228 0.092 0.561
I2 I 0.244 0.587 0.054
I3 I 0.288 0.750 0.588
```